The following is a PBE with a Hubbard U calculation of an optimized crystal structure of KMoPbO4, from Alexandria via LeMat-Bulk.

## Properties
ρ in g/cm³: 4.78
Space-group type: P2_1/m
DFT total energy in eV per atom: -5.994
Crystal system: monoclinic

a b c (Å): 6.153 6.162 7.884
angles (deg): 90.00 109.07 90.00
Fractional coordinates of all 14 atoms:
1 K 0.241 0.250 0.068
2 K 0.759 0.750 0.932
3 Mo 0.489 0.250 0.711
4 Mo 0.511 0.750 0.289
5 Pb 0.116 0.750 0.516
6 Pb 0.884 0.250 0.484
7 O 0.196 0.750 0.208
8 O 0.368 0.250 0.470
9 O 0.377 0.016 0.791
10 O 0.377 0.484 0.791
11 O 0.623 0.516 0.209
12 O 0.623 0.984 0.209
13 O 0.632 0.750 0.530
14 O 0.804 0.250 0.792